A geometry-optimized LiZrC2 structure. Source: Alexandria, functional GGA-PBE.

a b c (Å): 3.6916 3.6916 6.7544
angles (deg): 74.14 74.14 90.00
With the nearest neighbours (Å) after each atom.
Fractional coordinates of all 8 atoms:
C (0.8750, 0.7146, 0.7500)  2 Li 1.84, 2 C 1.96
C (0.2854, 0.6250, 0.2500)  2 Li 1.84, 2 C 1.96
C (0.4646, 0.1250, 0.2500)  2 Li 1.84, 2 C 1.96
C (0.3750, 0.5354, 0.7500)  2 Li 1.84, 2 C 1.96
Zr (0.7500, 0.2500, 0.5000)  4 C 2.36, 4 Li 2.61
Zr (0.0000, 0.0000, 0.0000)  4 C 2.36, 4 Li 2.61
Li (0.5000, 0.5000, 0.0000)  4 C 1.84
Li (0.2500, 0.7500, 0.5000)  4 C 1.84

Values from the calculation:
Density (g/cm3): 4.78
SG: I-42d (122)
Excess energy over the best structure of this formula in the dataset (kJ per mole of atoms): 2.9
DOS at the Fermi energy (states/eV/f.u.): 0.42
V (Å³/cell): 84.90
Formation energy from the elements (eV/atom): 0.748

***

A geometry-optimized Lu4C7 structure. Source: Alexandria, functional GGA-PBE.

a b c (Å): 13.5401 3.6037 6.2887
angles (deg): 74.65 90.00 90.00
With the nearest neighbours (Å) after each atom.
Fractional coordinates of all 22 atoms:
C (0.1036, 0.2681, 0.4498)  1 C 1.34
C (0.6036, 0.7319, 0.0503)  1 C 1.34
C (0.6977, 0.6240, 0.0442)  2 C 1.32-1.34
C (0.7863, 0.4643, 0.0757)  1 C 1.32
C (0.7137, 0.4643, 0.5757)  1 C 1.32
C (0.2863, 0.5357, 0.4243)  1 C 1.32
C (0.8023, 0.6240, 0.5442)  2 C 1.32-1.34
C (0.3964, 0.2681, 0.9498)  1 C 1.34
C (0.1977, 0.3760, 0.4558)  2 C 1.32-1.34
C (0.5000, 0.0000, 0.5000)  6 Lu 2.37-2.54
C (0.0000, 0.0000, 0.0000)  6 Lu 2.37-2.54
C (0.2137, 0.5357, 0.9243)  1 C 1.32
C (0.3023, 0.3760, 0.9558)  2 C 1.32-1.34
C (0.8964, 0.7319, 0.5502)  1 C 1.34
Lu (0.1596, 0.9410, 0.1609)  7 C 2.37-2.60
Lu (0.5543, 0.3658, 0.7599)  6 C 2.43-2.61
Lu (0.3404, 0.9410, 0.6609)  7 C 2.37-2.60
Lu (0.0543, 0.6342, 0.7401)  6 C 2.43-2.61
Lu (0.8404, 0.0590, 0.8391)  7 C 2.37-2.60
Lu (0.4457, 0.6342, 0.2401)  6 C 2.43-2.61
Lu (0.9457, 0.3658, 0.2599)  6 C 2.43-2.61
Lu (0.6596, 0.0590, 0.3391)  7 C 2.37-2.60

Values from the calculation:
Density (g/cm3): 8.80
SG: P2_1/c (14)
DOS at the Fermi energy (states/eV/f.u.): 0.35
V (Å³/cell): 295.91
Formation energy from the elements (eV/atom): -0.325

***

A geometry-optimized Lu2C3 structure. Source: Alexandria, functional GGA-PBE.

a b c (Å): 6.9367 6.9367 6.9367
angles (deg): 109.47 109.47 109.47
With the nearest neighbours (Å) after each atom.
Fractional coordinates of all 20 atoms:
Lu (0.0000, 0.6001, 0.5000)  6 C 2.44-2.54
Lu (0.8999, 0.8999, 0.8999)  6 C 2.44-2.54
Lu (0.6001, 0.5000, 0.0000)  6 C 2.44-2.54
Lu (0.0000, 0.1001, 0.5000)  6 C 2.44-2.54
Lu (0.1001, 0.5000, 0.0000)  6 C 2.44-2.54
Lu (0.3999, 0.3999, 0.3999)  6 C 2.44-2.54
Lu (0.5000, 0.0000, 0.6001)  6 C 2.44-2.54
Lu (0.5000, 0.0000, 0.1001)  6 C 2.44-2.54
C (0.7909, 0.2500, 0.0409)  1 C 1.35
C (0.7091, 0.7500, 0.4591)  1 C 1.35
C (0.9591, 0.2500, 0.2091)  1 C 1.35
C (0.7500, 0.4591, 0.7091)  1 C 1.35
C (0.2909, 0.5409, 0.7500)  1 C 1.35
C (0.2500, 0.2091, 0.9591)  1 C 1.35
C (0.7500, 0.2909, 0.5409)  1 C 1.35
C (0.4591, 0.7091, 0.7500)  1 C 1.35
C (0.2500, 0.0409, 0.7909)  1 C 1.35
C (0.5409, 0.7500, 0.2909)  1 C 1.35
C (0.2091, 0.9591, 0.2500)  1 C 1.35
C (0.0409, 0.7909, 0.2500)  1 C 1.35

Values from the calculation:
Density (g/cm3): 9.98
SG: I-43d (220)
DOS at the Fermi energy (states/eV/f.u.): 1.51
V (Å³/cell): 256.94
Formation energy from the elements (eV/atom): -0.269

***

> Among the records above, which one has the highest formation energy from the elements?

LiZrC2